Entry from Alexandria via LeMat-Bulk: a relaxed structure of CePm2Y3S6 (PBE).

VASP energy ... -83.9 eV for the cell shown
Formation energy from raw total energies ... -2.02 eV/atom
Density of states at the Fermi level ... 0.822 states/eV per atom

The structure in extended XYZ format:
```
12
Lattice="8.6792 -1.9762 0.0000 8.6792 1.9762 0.0000 -1.9154 0.0000 7.7725" Properties=species:S:1:pos:R:3 pbc="T T T"
Ce 0.0000 0.0000 0.0000
Pm 4.5200 0.0000 5.1982
Pm 10.9230 0.0000 2.5743
Y -0.9577 0.0000 3.8863
Y 5.4674 0.0000 1.2831
Y 9.9756 0.0000 6.4894
S 1.7311 0.0000 4.5834
S 2.7899 0.0000 0.6008
S 8.1417 0.0000 1.9917
S 7.3012 0.0000 5.7808
S 12.6530 0.0000 7.1717
S 13.7118 0.0000 3.1891
```